First-principles (PBE-GGA) data for a relaxed structure of Li2AcIr2, as listed in the Alexandria database.

The structure in CIF format:
```
data_Li2AcIr2
_chemical_formula_sum 'Li4 Ac2 Ir4'
_space_group_name_H-M_alt 'P 1'
_space_group_IT_number 1
_space_group_name_Hall 'P 1'
_cell_length_a 10.7572
_cell_length_b 4.5418
_cell_length_c 4.9565
_cell_angle_alpha 90.00
_cell_angle_beta 110.15
_cell_angle_gamma 90.00
loop_
_atom_site_label
_atom_site_type_symbol
_atom_site_fract_x
_atom_site_fract_y
_atom_site_fract_z
Li1 Li 0.1676 0.0000 0.0476
Li2 Li 0.3324 0.5000 0.9524
Li3 Li 0.6676 0.5000 0.0476
Li4 Li 0.8324 0.0000 0.9524
Ac1 Ac 0.0000 0.5000 0.5000
Ac2 Ac 0.5000 0.0000 0.5000
Ir1 Ir 0.2468 0.0000 0.5950
Ir2 Ir 0.2532 0.5000 0.4050
Ir3 Ir 0.7468 0.5000 0.5950
Ir4 Ir 0.7532 0.0000 0.4050
```

Calculated total energy, eV per formula unit: -26.6
Energy of formation from the pure elements, eV/atom: -0.196
Size of the total moment, μB/f.u.: 0.0

First-principles (PBE-GGA) data for a relaxed structure of La3Tb2Y6Pu, as listed in the Alexandria database.

The structure in CIF format:
```
data_La3Tb2Y6Pu
_chemical_formula_sum 'La3 Tb2 Y6 Pu1'
_space_group_name_H-M_alt 'P 1'
_space_group_IT_number 1
_space_group_name_Hall 'P 1'
_cell_length_a 6.2434
_cell_length_b 6.2434
_cell_length_c 11.8408
_cell_angle_alpha 95.05
_cell_angle_beta 95.05
_cell_angle_gamma 120.03
loop_
_atom_site_label
_atom_site_type_symbol
_atom_site_fract_x
_atom_site_fract_y
_atom_site_fract_z
La1 La 0.0000 0.0000 0.0000
La2 La 0.3326 0.6674 0.0000
La3 La 0.6674 0.3326 0.0000
Tb1 Tb 0.1666 0.8334 0.5000
Tb2 Tb 0.8334 0.1666 0.5000
Y1 Y 0.0899 0.4191 0.2569
Y2 Y 0.2517 0.2517 0.7434
Y3 Y 0.4191 0.0899 0.2569
Y4 Y 0.5809 0.9101 0.7431
Y5 Y 0.7483 0.7483 0.2566
Y6 Y 0.9101 0.5809 0.7431
Pu1 Pu 0.5000 0.5000 0.5000
```

Calculated total energy, eV per formula unit: -76.6
Energy of formation from the pure elements, eV/atom: 0.046
Size of the total moment, μB/f.u.: 6.7

First-principles (PBE-GGA) data for a relaxed structure of Y2GeBOs, as listed in the Alexandria database.

The structure in CIF format:
```
data_Y2GeBOs
_chemical_formula_sum 'Y2 Ge1 B1 Os1'
_space_group_name_H-M_alt 'P 1'
_space_group_IT_number 1
_space_group_name_Hall 'P 1'
_cell_length_a 5.3388
_cell_length_b 5.3388
_cell_length_c 4.6459
_cell_angle_alpha 90.00
_cell_angle_beta 90.00
_cell_angle_gamma 90.00
loop_
_atom_site_label
_atom_site_type_symbol
_atom_site_fract_x
_atom_site_fract_y
_atom_site_fract_z
Y1 Y 0.0000 0.5000 0.0000
Y2 Y 0.5000 0.0000 0.0000
Ge1 Ge 0.0000 0.0000 0.5000
B1 B 0.5000 0.5000 0.5000
Os1 Os 0.0000 0.0000 0.0000
```

Calculated total energy, eV per formula unit: -32.1
Energy of formation from the pure elements, eV/atom: 0.663
Size of the total moment, μB/f.u.: 1.0

First-principles (PBE-GGA) data for a relaxed structure of NaSnSb2, as listed in the Alexandria database.

The structure in CIF format:
```
data_NaSnSb2
_chemical_formula_sum 'Na3 Sn3 Sb6'
_space_group_name_H-M_alt 'P 1'
_space_group_IT_number 1
_space_group_name_Hall 'P 1'
_cell_length_a 4.0721
_cell_length_b 4.0721
_cell_length_c 25.4083
_cell_angle_alpha 90.00
_cell_angle_beta 90.00
_cell_angle_gamma 120.00
loop_
_atom_site_label
_atom_site_type_symbol
_atom_site_fract_x
_atom_site_fract_y
_atom_site_fract_z
Na1 Na 0.0000 0.0000 0.0000
Na2 Na 0.3333 0.6667 0.6667
Na3 Na 0.6667 0.3333 0.3333
Sn1 Sn 0.0000 0.0000 0.5000
Sn2 Sn 0.3333 0.6667 0.1667
Sn3 Sn 0.6667 0.3333 0.8333
Sb1 Sb 0.0000 0.0000 0.2401
Sb2 Sb 0.0000 0.0000 0.7599
Sb3 Sb 0.3333 0.6667 0.4265
Sb4 Sb 0.3333 0.6667 0.9068
Sb5 Sb 0.6667 0.3333 0.0932
Sb6 Sb 0.6667 0.3333 0.5735
```

Calculated total energy, eV per formula unit: -13.7
E_form (uncorrected), eV/f.u.: -0.135
Size of the total moment, μB/f.u.: 0.0